## RbCuTeOsS2 (PBE)

Data for a geometry-optimized RbCuTeOsS2 structure.

Cell lengths 8.2676, 8.2676, 9.7247 Å; angles 90.00, 90.00, 153.92 degrees
Positions (direct):
Rb 0.2878 0.7122 0.7500
Rb 0.7122 0.2878 0.2500
Cu 0.0279 0.9721 0.2500
Cu 0.9721 0.0279 0.7500
S 0.0916 0.9084 0.0483
S 0.0916 0.9084 0.4517
S 0.9084 0.0916 0.5483
S 0.9084 0.0916 0.9517
Te 0.4149 0.5851 0.2500
Te 0.5851 0.4149 0.7500
Os 0.5000 0.5000 0.5000
Os 0.5000 0.5000 0.0000

Summary:
As for the space-group type: Cmcm, No. 63. The value obtained for the total energy is -4.84 eV per atom.